Tl2Sb2O7, optimized geometry, DFT PBE-GGA; energy relative to the elements, uncorrected = -1.12 eV/atom; energy = -5.4589 eV/atom; E above lowest polymorph = 0 meV/atom
1.0
0.000 5.364 5.364
5.364 0.000 5.364
5.364 5.364 0.000
Tl Sb O
4 4 14
Direct
0.000 0.000 0.000 Tl
0.000 0.000 0.500 Tl
0.000 0.500 0.000 Tl
0.500 0.000 0.000 Tl
0.000 0.500 0.500 Sb
0.500 0.000 0.500 Sb
0.500 0.500 0.000 Sb
0.500 0.500 0.500 Sb
0.125 0.125 0.125 O
0.181 0.181 0.569 O
0.181 0.569 0.181 O
0.181 0.569 0.569 O
0.431 0.431 0.819 O
0.431 0.819 0.431 O
0.431 0.819 0.819 O
0.569 0.181 0.181 O
0.569 0.181 0.569 O
0.569 0.569 0.181 O
0.819 0.431 0.431 O
0.819 0.431 0.819 O
0.819 0.819 0.431 O
0.875 0.875 0.875 O